Below is a PBEsol-optimized structure of ScSICl2, with properties calculated at the SCAN level.

Structure (POSCAR):
```
ScSICl2
1.0
5.378 0.000 0.000
0.000 5.378 0.000
0.000 0.000 5.239
S Sc I Cl
1 1 1 2
direct
0.000 0.000 0.500 S
0.500 0.500 0.500 Sc
0.000 0.000 0.000 I
0.500 0.000 0.000 Cl
0.000 0.500 0.000 Cl
```

- Energy relative to the lowest polymorph listed for this composition: 1.3685 eV per atom
- Space-group type: No. 123
- E_tot: -75.54 eV per cell



Below is a PBEsol-optimized structure of SiS2ICl, with properties calculated at the SCAN level.

Structure (POSCAR):
```
SiS2ICl
1.0
-0.989 -4.313 2.616
4.758 0.088 1.944
-1.641 2.738 3.893
S I Si Cl
2 1 1 1
direct
0.000 0.500 0.000 S
0.500 0.000 0.000 S
0.000 0.000 0.000 I
0.500 0.500 0.500 Si
0.000 0.000 0.500 Cl
```

- Space-group type: No. 123
- E_tot: -68.82 eV per cell



Below is a PBEsol-optimized structure of SrSICl2, with properties calculated at the SCAN level.

Structure (POSCAR):
```
SrSICl2
1.0
5.479 0.000 0.000
0.000 5.479 0.000
0.000 0.000 5.951
Sr Cl I S
1 2 1 1
direct
0.000 0.000 0.000 Sr
0.000 0.500 0.000 Cl
0.500 0.000 0.000 Cl
0.500 0.500 0.500 I
0.000 0.000 0.500 S
```

- Space-group type: No. 123
- E_tot: -88.80 eV per cell



Below is a PBEsol-optimized structure of TaS2ICl, with properties calculated at the SCAN level.

Structure (POSCAR):
```
TaS2ICl
1.0
5.115 0.000 0.000
0.000 5.115 0.000
0.000 0.000 4.974
I S Cl Ta
1 2 1 1
direct
0.000 0.000 0.000 I
0.500 0.000 0.000 S
0.000 0.500 0.000 S
0.000 0.000 0.500 Cl
0.500 0.500 0.500 Ta
```

- Space-group type: No. 123
- E_tot: -123.14 eV per cell



Below is a PBEsol-optimized structure of ZnSI2Cl, with properties calculated at the SCAN level.

Structure (POSCAR):
```
ZnSI2Cl
1.0
4.849 0.000 0.000
0.000 5.395 0.000
0.000 0.000 5.395
I S Cl Zn
2 1 1 1
direct
0.000 0.500 0.000 I
0.000 0.000 0.500 I
0.000 0.000 0.000 S
0.500 0.000 0.000 Cl
0.500 0.500 0.500 Zn
```

- Space-group type: No. 123
- E_tot: -103.07 eV per cell



Below is a PBEsol-optimized structure of SbI3Cl8, with properties calculated at the SCAN level.

Structure (POSCAR):
```
SbI3Cl8
1.0
6.967 0.070 -0.038
-1.282 7.211 0.049
-0.548 -0.606 7.928
Cl I Sb
8 3 1
direct
0.491 0.751 0.084 Cl
0.119 0.530 0.788 Cl
0.712 0.304 0.565 Cl
0.509 0.249 0.916 Cl
0.881 0.470 0.212 Cl
0.288 0.696 0.435 Cl
0.842 0.776 0.540 Cl
0.158 0.224 0.460 Cl
0.341 0.242 0.164 I
0.000 0.000 0.000 I
0.659 0.758 0.836 I
0.000 0.500 0.500 Sb
```

- Space-group type: No. 2
- E_tot: -216.81 eV per cell



Below is a PBEsol-optimized structure of ScSbI2Cl, with properties calculated at the SCAN level.

Structure (POSCAR):
```
ScSbI2Cl
1.0
-1.428 4.687 -2.372
-2.816 1.365 4.393
4.377 2.379 2.066
I Sb Sc Cl
2 1 1 1
direct
0.000 0.500 0.000 I
0.000 0.000 0.500 I
0.500 0.000 0.000 Sb
0.500 0.500 0.500 Sc
0.000 0.000 0.000 Cl
```

- Space-group type: No. 123
- E_tot: -130.49 eV per cell



Below is a PBEsol-optimized structure of TaSb2ICl, with properties calculated at the SCAN level.

Structure (POSCAR):
```
TaSb2ICl
1.0
-3.569 -1.035 -3.329
2.455 -4.128 -1.349
-2.813 -2.960 3.936
Sb Ta I Cl
2 1 1 1
direct
0.500 0.000 0.000 Sb
0.000 0.500 0.000 Sb
0.500 0.500 0.500 Ta
0.000 0.000 0.500 I
0.000 0.000 0.000 Cl
```

- Space-group type: No. 123
- E_tot: -178.19 eV per cell



Below is a PBEsol-optimized structure of SeICl2, with properties calculated at the SCAN level.

Structure (POSCAR):
```
SeICl2
1.0
-3.060 -1.293 -0.964
-0.462 -3.424 -0.145
-4.081 -1.570 8.857
Se Cl I
1 2 1
direct
0.500 0.500 0.500 Se
0.913 0.913 0.262 Cl
0.087 0.087 0.738 Cl
0.000 0.000 0.000 I
```

- Space-group type: No. 166
- E_tot: -71.25 eV per cell



Below is a PBEsol-optimized structure of SiICl3, with properties calculated at the SCAN level.

Structure (POSCAR):
```
SiICl3
1.0
-0.422 -3.934 2.846
1.415 -2.833 -3.706
4.645 0.506 1.387
I Cl Si
1 3 1
direct
0.500 0.500 0.500 I
0.000 0.500 0.000 Cl
0.000 0.000 0.500 Cl
0.500 0.000 0.000 Cl
0.000 0.000 0.000 Si
```

- Space-group type: No. 221
- E_tot: -71.55 eV per cell



Below is a PBEsol-optimized structure of SiTeI2Cl, with properties calculated at the SCAN level.

Structure (POSCAR):
```
SiTeI2Cl
1.0
5.271 0.000 0.000
0.000 5.332 0.000
0.000 0.000 5.332
Si Cl I Te
1 1 2 1
direct
0.000 0.000 0.000 Si
0.500 0.500 0.500 Cl
0.000 0.000 0.500 I
0.000 0.500 0.000 I
0.500 0.000 0.000 Te
```

- Space-group type: No. 123
- E_tot: -126.95 eV per cell



Below is a PBEsol-optimized structure of SnICl2, with properties calculated at the SCAN level.

Structure (POSCAR):
```
SnICl2
1.0
3.778 0.000 0.000
1.889 3.272 0.000
1.889 1.091 11.552
Sn Cl I
1 2 1
direct
0.500 0.500 0.500 Sn
0.884 0.884 0.348 Cl
0.116 0.116 0.652 Cl
0.000 0.000 0.000 I
```

- Space-group type: No. 166
- E_tot: -90.51 eV per cell



Taking the records one at a time from the top gives total moment values of 1.3, 0.3, 3.0, 3.2, 0.0, 0.0, 0.5, 2.0, 1.2, 1.4, 0.0, 0.6 μB per formula unit.